# 1
! PrSmBiN, optimized geometry, DFT PBE; values from VASP
! N(E_F) = 0.142 states/eV/atom
! total magnetic moment = 0.0000 μB/atom
! E_tot = -52.96 eV for the cell shown
&SYSTEM
  ibrav = 0, nat = 8, ntyp = 4
/
ATOMIC_SPECIES
N 14.01 N.upf
Pr 140.91 Pr.upf
Sm 150.36 Sm.upf
Bi 208.98 Bi.upf
CELL_PARAMETERS angstrom
4.711 0.000 0.000
0.000 4.711 0.000
0.000 0.000 9.427
ATOMIC_POSITIONS crystal
N 0.000 0.500 0.424
Pr 0.500 0.000 0.822
N 0.500 0.000 0.576
Sm 0.000 0.000 0.500
Bi 0.500 0.000 0.195
Bi 0.000 0.500 0.805
Sm 0.500 0.500 0.500
Pr 0.000 0.500 0.178

# 2
! Pr4SnBiN, optimized geometry, DFT PBE; values from VASP
! N(E_F) = 0.945 states/eV/atom
! total magnetic moment = 0.0002 μB/atom
! E_tot = -82.84 eV for the cell shown
&SYSTEM
  ibrav = 0, nat = 14, ntyp = 4
/
ATOMIC_SPECIES
Pr 140.91 Pr.upf
Bi 208.98 Bi.upf
Sn 118.71 Sn.upf
N 14.01 N.upf
CELL_PARAMETERS angstrom
-1.229 6.033 3.356
-5.817 0.926 -3.796
-3.835 -7.155 4.132
ATOMIC_POSITIONS crystal
Pr 0.592 0.250 0.183
Bi 0.606 0.750 0.213
Pr 0.912 0.250 0.825
Pr 0.500 0.500 0.500
Sn 0.108 0.250 0.217
Pr 0.000 0.500 0.500
Pr 0.088 0.750 0.175
Pr 0.500 0.000 0.500
Sn 0.892 0.750 0.783
Pr 0.000 0.000 0.500
N 0.750 0.250 0.500
N 0.250 0.750 0.500
Pr 0.408 0.750 0.817
Bi 0.394 0.250 0.787

# 3
! Tb4Pr2Bi3N2, optimized geometry, DFT PBE; values from VASP
! N(E_F) = 0.631 states/eV/atom
! total magnetic moment = 0.0000 μB/atom
! E_tot = -67.94 eV for the cell shown
&SYSTEM
  ibrav = 0, nat = 11, ntyp = 4
/
ATOMIC_SPECIES
Bi 208.98 Bi.upf
Tb 158.93 Tb.upf
Pr 140.91 Pr.upf
N 14.01 N.upf
CELL_PARAMETERS angstrom
4.733 0.000 0.000
0.000 4.733 0.000
-2.367 -2.367 13.145
ATOMIC_POSITIONS crystal
Bi 0.823 0.823 0.645
Tb 0.417 0.917 0.834
Pr 0.308 0.308 0.616
Bi 0.000 0.000 0.000
N 0.401 0.401 0.802
Pr 0.692 0.692 0.384
N 0.599 0.599 0.198
Bi 0.177 0.177 0.355
Tb 0.083 0.583 0.166
Tb 0.583 0.083 0.166
Tb 0.917 0.417 0.834

Repeat the first record exactly.
! PrSmBiN, optimized geometry, DFT PBE; values from VASP
! N(E_F) = 0.142 states/eV/atom
! total magnetic moment = 0.0000 μB/atom
! E_tot = -52.96 eV for the cell shown
&SYSTEM
  ibrav = 0, nat = 8, ntyp = 4
/
ATOMIC_SPECIES
N 14.01 N.upf
Pr 140.91 Pr.upf
Sm 150.36 Sm.upf
Bi 208.98 Bi.upf
CELL_PARAMETERS angstrom
4.711 0.000 0.000
0.000 4.711 0.000
0.000 0.000 9.427
ATOMIC_POSITIONS crystal
N 0.000 0.500 0.424
Pr 0.500 0.000 0.822
N 0.500 0.000 0.576
Sm 0.000 0.000 0.500
Bi 0.500 0.000 0.195
Bi 0.000 0.500 0.805
Sm 0.500 0.500 0.500
Pr 0.000 0.500 0.178

> The highest N(E_F) belongs to which entry?

Pr4SnBiN

> Which of these has the lowest E_tot?

Pr4SnBiN